Arrangement w

# NaPd2O4

A relaxed NaPd2O4 crystal (PBE, the Alexandria database).

Properties
Volume in Å³/cell: 192.9
Spin magnetization in μB/atom: 0.12
D(E_F) in states/eV per atom: 0.58
Crystal system: monoclinic

Cell and atoms, written as POSCAR:
```
NaPd2O4
1.0
12.3716 0.0000 0.0000
0.0000 3.2369 0.0000
-2.1778 0.0000 4.8175
Na Pd O
2 4 8
Direct
0.0000 0.0000 0.0000
0.5000 0.5000 0.0000
0.2439 0.5000 0.7423
0.2561 0.0000 0.2577
0.7439 0.0000 0.7423
0.7561 0.5000 0.2577
0.1578 0.0000 0.4855
0.1591 0.5000 0.0051
0.3409 0.0000 0.9949
0.3422 0.5000 0.5145
0.6578 0.5000 0.4855
0.6591 0.0000 0.0051
0.8409 0.5000 0.9949
0.8422 0.0000 0.5145
```

Arrangement x

# NaPd2O4

A relaxed NaPd2O4 crystal (PBE, the Alexandria database).

Properties
Volume in Å³/cell: 184.1
Spin magnetization in μB/atom: 0.09
D(E_F) in states/eV per atom: 0.71
Crystal system: tetragonal

Cell and atoms, written as POSCAR:
```
NaPd2O4
1.0
-3.2150 3.2150 4.4540
3.2150 -3.2150 4.4540
3.2150 3.2150 -4.4540
Na Pd O
2 4 8
Direct
0.3750 0.6250 0.7500
0.6250 0.3750 0.2500
0.0000 0.0000 0.0000
0.0000 0.0000 0.5000
0.0000 0.5000 0.0000
0.5000 0.0000 0.5000
0.1894 0.2316 0.9578
0.2262 0.7684 0.4578
0.2316 0.1894 0.4578
0.2316 0.7738 0.0422
0.7684 0.2262 0.9578
0.7684 0.8106 0.5422
0.7738 0.2316 0.5422
0.8106 0.7684 0.0422
```

arrangement x is the most stable structure; the next one sits 0.043 eV/atom above it.

Arrangement w

# NaPrO

A relaxed NaPrO crystal (PBE, the Alexandria database).

Properties
Volume in Å³/cell: 344.5
Spin magnetization in μB/atom: 0.00
D(E_F) in states/eV per atom: 0.38
Crystal system: monoclinic

Cell and atoms, written as POSCAR:
```
NaPrO
1.0
6.9282 0.0000 0.0000
0.0000 3.9956 0.0000
-2.3363 0.0000 12.4452
Na Pr O
4 4 4
Direct
0.1260 0.0000 0.3780
0.3740 0.5000 0.6220
0.6260 0.5000 0.3780
0.8740 0.0000 0.6220
0.1257 0.5000 0.8799
0.3743 0.0000 0.1201
0.6257 0.0000 0.8799
0.8743 0.5000 0.1201
0.1915 0.5000 0.0740
0.3085 0.0000 0.9260
0.6915 0.0000 0.0740
0.8085 0.5000 0.9260
```

Arrangement x

# NaPrO

A relaxed NaPrO crystal (PBE, the Alexandria database).

Properties
Volume in Å³/cell: 90.2
Spin magnetization in μB/atom: 0.04
D(E_F) in states/eV per atom: 0.36
Crystal system: trigonal

Cell and atoms, written as POSCAR:
```
NaPrO
1.0
3.9345 0.0000 0.0000
-1.9672 3.4074 0.0000
0.0000 0.0000 6.7312
Na Pr O
1 1 1
Direct
0.0000 0.0000 0.0000
0.6667 0.3333 0.4758
0.3333 0.6667 0.5288
```

arrangement w is the most stable structure; the next one sits 0.165 eV/atom above it.

Arrangement w

# NaPrTiO4

A relaxed NaPrTiO4 crystal (PBE, the Alexandria database).

Properties
Volume in Å³/cell: 186.9
Spin magnetization in μB/atom: 0.00
D(E_F) in states/eV per atom: 0.00
Crystal system: tetragonal

Cell and atoms, written as POSCAR:
```
NaPrTiO4
1.0
3.7645 0.0000 0.0000
0.0000 3.7645 0.0000
0.0000 0.0000 13.1904
Na Pr Ti O
2 2 2 8
Direct
0.2500 0.2500 0.0825
0.7500 0.7500 0.9175
0.2500 0.2500 0.3913
0.7500 0.7500 0.6087
0.2500 0.2500 0.7731
0.7500 0.7500 0.2269
0.2500 0.2500 0.5701
0.2500 0.2500 0.9068
0.2500 0.7500 0.2640
0.2500 0.7500 0.7360
0.7500 0.2500 0.2640
0.7500 0.2500 0.7360
0.7500 0.7500 0.0932
0.7500 0.7500 0.4299
```

Arrangement x

# NaPrTiO4

A relaxed NaPrTiO4 crystal (PBE, the Alexandria database).

Properties
Volume in Å³/cell: 181.8
Spin magnetization in μB/atom: 0.00
D(E_F) in states/eV per atom: 0.00
Crystal system: tetragonal

Cell and atoms, written as POSCAR:
```
NaPrTiO4
1.0
3.8055 0.0000 0.0000
0.0000 3.8055 0.0000
0.0000 0.0000 12.5547
Na Pr Ti O
2 2 2 8
Direct
0.0000 0.0000 0.0000
0.5000 0.5000 0.5000
0.0000 0.0000 0.7028
0.5000 0.5000 0.2028
0.0000 0.0000 0.3662
0.5000 0.5000 0.8662
0.0000 0.0000 0.1807
0.0000 0.0000 0.5112
0.0000 0.5000 0.3391
0.0000 0.5000 0.8391
0.5000 0.0000 0.3391
0.5000 0.0000 0.8391
0.5000 0.5000 0.0112
0.5000 0.5000 0.6807
```

arrangement w is the most stable structure; the next one sits 0.038 eV/atom above it.

Arrangement w

# NaPu2O6

A relaxed NaPu2O6 crystal (PBE, the Alexandria database).

Properties
Volume in Å³/cell: 389.9
Spin magnetization in μB/atom: 0.56
D(E_F) in states/eV per atom: 0.81
Crystal system: trigonal

Cell and atoms, written as POSCAR:
```
NaPu2O6
1.0
9.5446 0.0000 0.0000
-4.7723 8.2659 0.0000
0.0000 0.0000 4.9423
Na Pu O
3 6 18
Direct
0.0000 0.0000 0.0000
0.3333 0.6667 0.4663
0.6667 0.3333 0.5337
0.0000 0.3465 0.0000
0.0000 0.6776 0.5000
0.3224 0.3224 0.5000
0.3465 0.0000 0.0000
0.6535 0.6535 0.0000
0.6776 0.0000 0.5000
0.0890 0.5407 0.2412
0.1066 0.2497 0.2207
0.1431 0.8934 0.2207
0.1928 0.7706 0.7134
0.2294 0.4222 0.7134
0.2497 0.1066 0.7793
0.4222 0.2294 0.2866
0.4516 0.9110 0.2412
0.4593 0.5484 0.2412
0.5407 0.0890 0.7588
0.5484 0.4593 0.7588
0.5778 0.8072 0.7134
0.7503 0.8569 0.2207
0.7706 0.1928 0.2866
0.8072 0.5778 0.2866
0.8569 0.7503 0.7793
0.8934 0.1431 0.7793
0.9110 0.4516 0.7588
```

Arrangement x

# NaPu2O6

A relaxed NaPu2O6 crystal (PBE, the Alexandria database).

Properties
Volume in Å³/cell: 113.6
Spin magnetization in μB/atom: 0.56
D(E_F) in states/eV per atom: 1.28
Crystal system: tetragonal

Cell and atoms, written as POSCAR:
```
NaPu2O6
1.0
-1.8535 1.8535 8.2684
1.8535 -1.8535 8.2684
1.8535 1.8535 -8.2684
Na Pu O
1 2 6
Direct
0.0000 0.0000 0.0000
0.3364 0.3364 0.0000
0.6636 0.6636 0.0000
0.0981 0.5981 0.5000
0.2500 0.7500 0.5000
0.4019 0.9019 0.5000
0.5981 0.0981 0.5000
0.7500 0.2500 0.5000
0.9019 0.4019 0.5000
```

arrangement w is the most stable structure; the next one sits 0.098 eV/atom above it.